No. 1
# TcAgOs2 PBE-GGA optimized geometry
data_TcAgOs2
_symmetry_space_group_name_H-M 'I m m m'
_symmetry_Int_Tables_number 71
_symmetry_space_group_name_Hall '-I 2 2'
_cell_length_a 2.761
_cell_length_b 4.651
_cell_length_c 9.771
_cell_angle_alpha 90.00
_cell_angle_beta 90.00
_cell_angle_gamma 90.00
loop_
_atom_site_label
_atom_site_fract_x
_atom_site_fract_y
_atom_site_fract_z
_atom_site_occupancy
Tc1 0.000 0.000 0.000 1
Ag1 0.000 0.000 0.500 1
Os1 0.000 0.500 0.278 1
# - energy of formation (eV per atom) = 0.612
# - energy above the most stable polymorph in this dataset (meV/atom) = 342.6
# - DOS at the Fermi energy (states/eV/atom) = 0.938
# - DFT total energy (eV per cell) = -66.46

---

No. 2
# TcAgOs2 PBE-GGA optimized geometry
data_TcAgOs2
_symmetry_space_group_name_H-M 'P 4 m m'
_symmetry_Int_Tables_number 99
_cell_length_a 2.734
_cell_length_b 2.734
_cell_length_c 8.140
_cell_angle_alpha 90.00
_cell_angle_beta 90.00
_cell_angle_gamma 90.00
loop_
_symmetry_equiv_pos_as_xyz
'x,y,z'
'-y,x,z'
'-x,-y,z'
'y,-x,z'
'-x,y,z'
'y,x,z'
'x,-y,z'
'-y,-x,z'
loop_
_atom_site_label
_atom_site_fract_x
_atom_site_fract_y
_atom_site_fract_z
_atom_site_occupancy
Tc1 0.000 0.000 0.000 1
Ag1 0.500 0.500 0.267 1
Os1 0.000 0.000 0.535 1
Os2 0.500 0.500 0.758 1
# - energy of formation (eV per atom) = 0.415
# - energy above the most stable polymorph in this dataset (meV/atom) = 145.6
# - DOS at the Fermi energy (states/eV/atom) = 1.186
# - DFT total energy (eV per cell) = -34.02

---

No. 3
# TcAg2Os PBE-GGA optimized geometry
data_TcAg2Os
_symmetry_space_group_name_H-M 'R 3 m'
_symmetry_Int_Tables_number 160
_symmetry_space_group_name_Hall 'R 3 -2"'
_cell_length_a 2.7905
_cell_length_b 2.7905
_cell_length_c 28.5502
_cell_angle_alpha 90.00
_cell_angle_beta 90.00
_cell_angle_gamma 120.00
loop_
_atom_site_label
_atom_site_fract_x
_atom_site_fract_y
_atom_site_fract_z
_atom_site_occupancy
Tc1 0.0000 0.0000 0.0000 1
Ag1 0.0000 0.0000 0.2461 1
Ag2 0.0000 0.0000 0.4921 1
Os1 0.0000 0.0000 0.7381 1
# - energy of formation (eV per atom) = 0.262
# - energy above the most stable polymorph in this dataset (meV/atom) = 0.0
# - DOS at the Fermi energy (states/eV/atom) = 1.200
# - DFT total energy (eV per cell) = -78.75

---

No. 4
# TcAg2Os PBE-GGA optimized geometry
data_TcAg2Os
_symmetry_space_group_name_H-M 'C m m m'
_symmetry_Int_Tables_number 65
_symmetry_space_group_name_Hall '-C 2 2'
_cell_length_a 5.283
_cell_length_b 9.152
_cell_length_c 2.645
_cell_angle_alpha 90.00
_cell_angle_beta 90.00
_cell_angle_gamma 90.00
loop_
_atom_site_label
_atom_site_fract_x
_atom_site_fract_y
_atom_site_fract_z
_atom_site_occupancy
Tc1 0.000 0.000 0.000 1
Ag1 0.250 0.250 0.500 1
Os1 0.000 0.500 0.000 1
# - energy of formation (eV per atom) = 0.765
# - energy above the most stable polymorph in this dataset (meV/atom) = 503.2
# - DOS at the Fermi energy (states/eV/atom) = 1.320
# - DFT total energy (eV per cell) = -48.48

---

No. 5
# TcAgOs2 PBE-GGA optimized geometry
data_TcAgOs2
_symmetry_space_group_name_H-M 'R -3 m'
_symmetry_Int_Tables_number 166
_symmetry_space_group_name_Hall '-R 3 2"'
_cell_length_a 2.7530
_cell_length_b 2.7530
_cell_length_c 27.8324
_cell_angle_alpha 90.00
_cell_angle_beta 90.00
_cell_angle_gamma 120.00
loop_
_atom_site_label
_atom_site_fract_x
_atom_site_fract_y
_atom_site_fract_z
_atom_site_occupancy
Tc1 0.0000 0.0000 0.0000 1
Ag1 0.0000 0.0000 0.5000 1
Os1 0.0000 0.0000 0.2566 1
# - energy of formation (eV per atom) = 0.270
# - energy above the most stable polymorph in this dataset (meV/atom) = 0.0
# - DOS at the Fermi energy (states/eV/atom) = 0.903
# - DFT total energy (eV per cell) = -103.80

---

No. 6
# TcAg2Os PBE-GGA optimized geometry
data_TcAg2Os
_symmetry_space_group_name_H-M 'C m m m'
_symmetry_Int_Tables_number 65
_symmetry_space_group_name_Hall '-C 2 2'
_cell_length_a 2.802
_cell_length_b 4.620
_cell_length_c 9.962
_cell_angle_alpha 90.00
_cell_angle_beta 90.00
_cell_angle_gamma 90.00
loop_
_atom_site_label
_atom_site_fract_x
_atom_site_fract_y
_atom_site_fract_z
_atom_site_occupancy
Tc1 0.000 0.000 0.000 1
Ag1 0.000 0.500 0.250 1
Os1 0.000 0.000 0.500 1
# - energy of formation (eV per atom) = 0.703
# - energy above the most stable polymorph in this dataset (meV/atom) = 440.8
# - DOS at the Fermi energy (states/eV/atom) = 1.102
# - DFT total energy (eV per cell) = -48.98

---

No. 7
# TcAgOs2 PBE-GGA optimized geometry
data_TcAgOs2
_symmetry_space_group_name_H-M 'P 4/m m m'
_symmetry_Int_Tables_number 123
_symmetry_space_group_name_Hall '-P 4 2'
_cell_length_a 4.635
_cell_length_b 4.635
_cell_length_c 2.843
_cell_angle_alpha 90.00
_cell_angle_beta 90.00
_cell_angle_gamma 90.00
loop_
_atom_site_label
_atom_site_fract_x
_atom_site_fract_y
_atom_site_fract_z
_atom_site_occupancy
Tc1 0.000 0.000 0.000 1
Ag1 0.500 0.500 0.000 1
Os1 0.000 0.500 0.500 1
# - energy of formation (eV per atom) = 0.882
# - energy above the most stable polymorph in this dataset (meV/atom) = 612.5
# - DOS at the Fermi energy (states/eV/atom) = 1.605
# - DFT total energy (eV per cell) = -32.15

---

No. 8
# TcAgOs2 PBE-GGA optimized geometry
data_TcAgOs2
_symmetry_space_group_name_H-M 'I 4/m m m'
_symmetry_Int_Tables_number 139
_symmetry_space_group_name_Hall '-I 4 2'
_cell_length_a 3.898
_cell_length_b 3.898
_cell_length_c 7.893
_cell_angle_alpha 90.00
_cell_angle_beta 90.00
_cell_angle_gamma 90.00
loop_
_atom_site_label
_atom_site_fract_x
_atom_site_fract_y
_atom_site_fract_z
_atom_site_occupancy
Tc1 0.000 0.000 0.000 1
Ag1 0.000 0.000 0.500 1
Os1 0.000 0.500 0.250 1
# - energy of formation (eV per atom) = 0.630
# - energy above the most stable polymorph in this dataset (meV/atom) = 360.8
# - DOS at the Fermi energy (states/eV/atom) = 1.426
# - DFT total energy (eV per cell) = -66.31

---

No. 9
# TcAg2Os PBE-GGA optimized geometry
data_TcAg2Os
_symmetry_space_group_name_H-M 'P 4/m m m'
_symmetry_Int_Tables_number 123
_symmetry_space_group_name_Hall '-P 4 2'
_cell_length_a 4.973
_cell_length_b 4.973
_cell_length_c 2.635
_cell_angle_alpha 90.00
_cell_angle_beta 90.00
_cell_angle_gamma 90.00
loop_
_atom_site_label
_atom_site_fract_x
_atom_site_fract_y
_atom_site_fract_z
_atom_site_occupancy
Tc1 0.000 0.000 0.000 1
Ag1 0.000 0.500 0.500 1
Os1 0.500 0.500 0.000 1
# - energy of formation (eV per atom) = 1.030
# - energy above the most stable polymorph in this dataset (meV/atom) = 768.7
# - DOS at the Fermi energy (states/eV/atom) = 0.870
# - DFT total energy (eV per cell) = -23.18

---

No. 10
# TcAg2Os PBE-GGA optimized geometry
data_TcAg2Os
_symmetry_space_group_name_H-M 'C m m 2'
_symmetry_Int_Tables_number 35
_cell_length_a 2.861
_cell_length_b 4.660
_cell_length_c 9.783
_cell_angle_alpha 90.00
_cell_angle_beta 90.00
_cell_angle_gamma 90.00
loop_
_symmetry_equiv_pos_as_xyz
'x,y,z'
'-x,-y,z'
'-x,y,z'
'x,-y,z'
'x+1/2,y+1/2,z'
'-x+1/2,-y+1/2,z'
'-x+1/2,y+1/2,z'
'x+1/2,-y+1/2,z'
loop_
_atom_site_label
_atom_site_fract_x
_atom_site_fract_y
_atom_site_fract_z
_atom_site_occupancy
Tc1 0.000 0.000 0.000 1
Ag1 0.000 0.000 0.479 1
Ag2 0.000 0.500 0.739 1
Os1 0.000 0.500 0.217 1
# - energy of formation (eV per atom) = 0.436
# - energy above the most stable polymorph in this dataset (meV/atom) = 174.1
# - DOS at the Fermi energy (states/eV/atom) = 0.871
# - DFT total energy (eV per cell) = -51.11

---

No. 11
# TcAg2Os PBE-GGA optimized geometry
data_TcAg2Os
_symmetry_space_group_name_H-M 'R -3 m'
_symmetry_Int_Tables_number 166
_symmetry_space_group_name_Hall '-R 3 2"'
_cell_length_a 2.7485
_cell_length_b 2.7485
_cell_length_c 29.1061
_cell_angle_alpha 90.00
_cell_angle_beta 90.00
_cell_angle_gamma 120.00
loop_
_atom_site_label
_atom_site_fract_x
_atom_site_fract_y
_atom_site_fract_z
_atom_site_occupancy
Tc1 0.0000 0.0000 0.0000 1
Ag1 0.0000 0.0000 0.2502 1
Os1 0.0000 0.0000 0.5000 1
# - energy of formation (eV per atom) = 0.644
# - energy above the most stable polymorph in this dataset (meV/atom) = 382.7
# - DOS at the Fermi energy (states/eV/atom) = 1.325
# - DFT total energy (eV per cell) = -74.16

---

No. 12
# TcAgOs2 PBE-GGA optimized geometry
data_TcAgOs2
_symmetry_space_group_name_H-M 'I -4 2 d'
_symmetry_Int_Tables_number 122
_symmetry_space_group_name_Hall 'I -4 2bw'
_cell_length_a 7.233
_cell_length_b 7.233
_cell_length_c 5.298
_cell_angle_alpha 90.00
_cell_angle_beta 90.00
_cell_angle_gamma 90.00
loop_
_atom_site_label
_atom_site_fract_x
_atom_site_fract_y
_atom_site_fract_z
_atom_site_occupancy
Tc1 0.000 0.000 0.000 1
Ag1 0.000 0.000 0.500 1
Os1 0.200 0.750 0.125 1
# - energy of formation (eV per atom) = 1.012
# - energy above the most stable polymorph in this dataset (meV/atom) = 742.4
# - DOS at the Fermi energy (states/eV/atom) = 0.248
# - DFT total energy (eV per cell) = -126.52

---

No. 13
# TcAgOs2 PBE-GGA optimized geometry
data_TcAgOs2
_symmetry_space_group_name_H-M 'I -4 m 2'
_symmetry_Int_Tables_number 119
_symmetry_space_group_name_Hall 'I -4 -2'
_cell_length_a 3.857
_cell_length_b 3.857
_cell_length_c 8.050
_cell_angle_alpha 90.00
_cell_angle_beta 90.00
_cell_angle_gamma 90.00
loop_
_atom_site_label
_atom_site_fract_x
_atom_site_fract_y
_atom_site_fract_z
_atom_site_occupancy
Tc1 0.000 0.000 0.000 1
Ag1 0.000 0.500 0.250 1
Os1 0.000 0.000 0.500 1
Os2 0.000 0.500 0.750 1
# - energy of formation (eV per atom) = 0.647
# - energy above the most stable polymorph in this dataset (meV/atom) = 377.2
# - DOS at the Fermi energy (states/eV/atom) = 1.274
# - DFT total energy (eV per cell) = -66.18

---

No. 14
# TcAgOs2 PBE-GGA optimized geometry
data_TcAgOs2
_symmetry_space_group_name_H-M 'P m m m'
_symmetry_Int_Tables_number 47
_cell_length_a 2.750
_cell_length_b 3.930
_cell_length_c 5.596
_cell_angle_alpha 90.00
_cell_angle_beta 90.00
_cell_angle_gamma 90.00
loop_
_symmetry_equiv_pos_as_xyz
'x,y,z'
'-x,-y,-z'
'-x,-y,z'
'x,y,-z'
'x,-y,-z'
'-x,y,z'
'-x,y,-z'
'x,-y,z'
loop_
_atom_site_label
_atom_site_fract_x
_atom_site_fract_y
_atom_site_fract_z
_atom_site_occupancy
Tc1 0.000 0.000 0.000 1
Ag1 0.000 0.000 0.500 1
Os1 0.500 0.500 0.230 1
# - energy of formation (eV per atom) = 0.500
# - energy above the most stable polymorph in this dataset (meV/atom) = 230.0
# - DOS at the Fermi energy (states/eV/atom) = 1.102
# - DFT total energy (eV per cell) = -33.68

---

No. 15
# TcAgOs2 PBE-GGA optimized geometry
data_TcAgOs2
_symmetry_space_group_name_H-M 'P m m m'
_symmetry_Int_Tables_number 47
_cell_length_a 2.792
_cell_length_b 4.663
_cell_length_c 4.687
_cell_angle_alpha 90.00
_cell_angle_beta 90.00
_cell_angle_gamma 90.00
loop_
_symmetry_equiv_pos_as_xyz
'x,y,z'
'-x,-y,-z'
'-x,-y,z'
'x,y,-z'
'x,-y,-z'
'-x,y,z'
'-x,y,-z'
'x,-y,z'
loop_
_atom_site_label
_atom_site_fract_x
_atom_site_fract_y
_atom_site_fract_z
_atom_site_occupancy
Tc1 0.000 0.000 0.000 1
Ag1 0.500 0.000 0.500 1
Os1 0.000 0.500 0.500 1
Os2 0.500 0.500 0.000 1
# - energy of formation (eV per atom) = 0.807
# - energy above the most stable polymorph in this dataset (meV/atom) = 537.3
# - DOS at the Fermi energy (states/eV/atom) = 1.377
# - DFT total energy (eV per cell) = -32.45

---

No. 16
# TcAg2Os PBE-GGA optimized geometry
data_TcAg2Os
_symmetry_space_group_name_H-M 'F m -3 m'
_symmetry_Int_Tables_number 225
_symmetry_space_group_name_Hall '-F 4 2 3'
_cell_length_a 6.325
_cell_length_b 6.325
_cell_length_c 6.325
_cell_angle_alpha 90.00
_cell_angle_beta 90.00
_cell_angle_gamma 90.00
loop_
_atom_site_label
_atom_site_fract_x
_atom_site_fract_y
_atom_site_fract_z
_atom_site_occupancy
Tc1 0.000 0.000 0.000 1
Ag1 0.250 0.250 0.250 1
Os1 0.000 0.000 0.500 1
# - energy of formation (eV per atom) = 1.081
# - energy above the most stable polymorph in this dataset (meV/atom) = 818.8
# - DOS at the Fermi energy (states/eV/atom) = 0.921
# - DFT total energy (eV per cell) = -91.90

---

No. 17
# TcAgOs2 PBE-GGA optimized geometry
data_TcAgOs2
_symmetry_space_group_name_H-M 'P 4/m m m'
_symmetry_Int_Tables_number 123
_symmetry_space_group_name_Hall '-P 4 2'
_cell_length_a 3.916
_cell_length_b 3.916
_cell_length_c 3.907
_cell_angle_alpha 90.00
_cell_angle_beta 90.00
_cell_angle_gamma 90.00
loop_
_atom_site_label
_atom_site_fract_x
_atom_site_fract_y
_atom_site_fract_z
_atom_site_occupancy
Tc1 0.000 0.000 0.000 1
Ag1 0.500 0.500 0.000 1
Os1 0.000 0.500 0.500 1
# - energy of formation (eV per atom) = 0.716
# - energy above the most stable polymorph in this dataset (meV/atom) = 446.3
# - DOS at the Fermi energy (states/eV/atom) = 1.199
# - DFT total energy (eV per cell) = -32.81

---

No. 18
# TcAg2Os PBE-GGA optimized geometry
data_TcAg2Os
_symmetry_space_group_name_H-M 'P 1 2/m 1'
_symmetry_Int_Tables_number 10
_cell_length_a 4.742
_cell_length_b 2.755
_cell_length_c 5.087
_cell_angle_alpha 90.00
_cell_angle_beta 107.73
_cell_angle_gamma 90.00
loop_
_symmetry_equiv_pos_as_xyz
'x,y,z'
'-x,-y,-z'
'-x,y,-z'
'x,-y,z'
loop_
_atom_site_label
_atom_site_fract_x
_atom_site_fract_y
_atom_site_fract_z
_atom_site_occupancy
Tc1 0.000 0.000 0.000 1
Ag1 0.000 0.500 0.500 1
Ag2 0.500 0.000 0.500 1
Os1 0.500 0.500 0.000 1
# - energy of formation (eV per atom) = 0.623
# - energy above the most stable polymorph in this dataset (meV/atom) = 361.1
# - DOS at the Fermi energy (states/eV/atom) = 1.102
# - DFT total energy (eV per cell) = -24.81

---

No. 19
# TcAgOs2 PBE-GGA optimized geometry
data_TcAgOs2
_symmetry_space_group_name_H-M 'C m m m'
_symmetry_Int_Tables_number 65
_symmetry_space_group_name_Hall '-C 2 2'
_cell_length_a 5.528
_cell_length_b 7.843
_cell_length_c 2.761
_cell_angle_alpha 90.00
_cell_angle_beta 90.00
_cell_angle_gamma 90.00
loop_
_atom_site_label
_atom_site_fract_x
_atom_site_fract_y
_atom_site_fract_z
_atom_site_occupancy
Tc1 0.000 0.000 0.000 1
Ag1 0.000 0.500 0.000 1
Os1 0.250 0.250 0.500 1
# - energy of formation (eV per atom) = 0.635
# - energy above the most stable polymorph in this dataset (meV/atom) = 365.3
# - DOS at the Fermi energy (states/eV/atom) = 1.177
# - DFT total energy (eV per cell) = -66.28

---

No. 20
# Tc4AgOs PBE-GGA optimized geometry
data_Tc4AgOs
_symmetry_space_group_name_H-M 'F -4 3 m'
_symmetry_Int_Tables_number 216
_symmetry_space_group_name_Hall 'F -4 2 3'
_cell_length_a 7.204
_cell_length_b 7.204
_cell_length_c 7.204
_cell_angle_alpha 90.00
_cell_angle_beta 90.00
_cell_angle_gamma 90.00
loop_
_atom_site_label
_atom_site_fract_x
_atom_site_fract_y
_atom_site_fract_z
_atom_site_occupancy
Tc1 0.124 0.124 0.124 1
Ag1 0.250 0.250 0.750 1
Os1 0.000 0.000 0.500 1
# - energy of formation (eV per atom) = 0.547
# - DOS at the Fermi energy (states/eV/atom) = 0.943
# - DFT total energy (eV per cell) = -209.05